A plane-wave DFT calculation with PBE-GGA was carried out for a relaxed structure of AgSF2.

It has space group I-42d (No. 122), with a = 3.860 Å, b = 3.860 Å, c = 15.210 Å, α = 90.00°, β = 90.00° and γ = 90.00°. The inequivalent atoms are Ag at (0.000, 0.000, 0.000), S at (0.000, 0.000, 0.500) and F at (0.207, 0.250, 0.625).

The uncorrected formation energy comes out at -0.39 eV/atom. As for the crystal system: tetragonal. The value obtained for the total magnetization is 0.000 μB per formula unit. For the polymorph energy (0 for the lowest one), the calculation gives 1.56 eV/f.u. Its density of states at the Fermi level is 12.5 states/eV per cell.